1.
10
Lattice="5.972 0.000 0.000 0.000 5.972 0.000 0.000 0.000 4.318" Properties=species:S:1:pos:R:3 comment="CuMo4, optimized geometry, DFT PBE-GGA" e_above_lowest_polymorph_ev_per_atom=0.000 crystal_system=tetragonal pbc="T T T"
Cu 0.000 0.000 0.000
Cu 2.986 2.986 2.159
Mo 0.597 1.747 2.159
Mo 1.239 3.583 0.000
Mo 1.747 5.375 2.159
Mo 2.389 1.239 0.000
Mo 3.583 4.733 0.000
Mo 4.225 0.597 2.159
Mo 4.733 2.389 0.000
Mo 5.375 4.225 2.159

=====

2.
15
Lattice="2.717 0.000 0.000 -1.359 2.353 0.000 0.000 0.000 32.740" Properties=species:S:1:pos:R:3 comment="Cu3Mo2, optimized geometry, DFT PBE-GGA" e_above_lowest_polymorph_ev_per_atom=0.000 crystal_system=trigonal pbc="T T T"
Cu 0.000 0.000 0.000
Cu 0.000 0.000 12.910
Cu 0.000 0.000 19.830
Cu 0.000 1.569 1.996
Cu 0.000 1.569 8.917
Cu 0.000 1.569 21.827
Cu 1.359 0.784 10.913
Cu 1.359 0.784 23.823
Cu 1.359 0.784 30.744
Mo 0.000 0.000 6.679
Mo 0.000 0.000 26.061
Mo 0.000 1.569 15.147
Mo 0.000 1.569 28.506
Mo 1.359 0.784 4.234
Mo 1.359 0.784 17.593

=====

3.
6
Lattice="0.000 3.651 3.651 3.651 0.000 3.651 3.651 3.651 0.000" Properties=species:S:1:pos:R:3 comment="CuMo2, optimized geometry, DFT PBE-GGA" e_above_lowest_polymorph_ev_per_atom=0.418 crystal_system=cubic pbc="T T T"
Cu 0.913 0.913 0.913
Cu 6.389 6.389 6.389
Mo 3.651 1.825 1.825
Mo 1.825 3.651 1.825
Mo 1.825 1.825 3.651
Mo 3.651 3.651 3.651

=====

4.
2
Lattice="2.603 0.000 0.000 0.000 2.603 0.000 0.000 0.000 4.126" Properties=species:S:1:pos:R:3 comment="CuMo, optimized geometry, DFT PBE-GGA" crystal_system=tetragonal dft_energy_ev_per_cell=-14.443 pbc="T T T"
Cu 0.000 0.000 0.000
Mo 1.301 1.301 2.063

=====

5.
16
Lattice="8.443 0.000 0.000 0.000 8.443 0.000 0.000 0.000 3.308" Properties=species:S:1:pos:R:3 comment="CuMo, optimized geometry, DFT PBE-GGA" crystal_system=tetragonal dft_energy_ev_per_cell=-113.074 pbc="T T T"
Cu 0.000 2.902 0.000
Cu 0.000 5.541 0.000
Cu 1.320 4.222 1.654
Cu 2.902 0.000 0.000
Cu 4.222 1.320 1.654
Cu 4.222 7.123 1.654
Cu 5.541 0.000 0.000
Cu 7.123 4.222 1.654
Mo 1.400 1.400 1.654
Mo 1.400 7.043 1.654
Mo 2.822 2.822 0.000
Mo 2.822 5.621 0.000
Mo 5.621 2.822 0.000
Mo 5.621 5.621 0.000
Mo 7.043 1.400 1.654
Mo 7.043 7.043 1.654

=====

6.
8
Lattice="3.215 0.000 0.000 0.000 4.298 0.000 0.000 0.000 8.721" Properties=species:S:1:pos:R:3 comment="CuMo3, optimized geometry, DFT PBE-GGA" crystal_system=orthorhombic dft_energy_ev_per_cell=-72.163 pbc="T T T"
Cu 0.000 0.000 0.000
Cu 1.608 2.149 0.000
Mo 0.000 0.000 4.361
Mo 0.000 2.149 2.118
Mo 0.000 2.149 6.603
Mo 1.608 0.000 2.118
Mo 1.608 0.000 6.603
Mo 1.608 2.149 4.361

=====

7.
12
Lattice="2.557 0.000 0.000 0.000 15.170 0.000 0.000 0.000 4.639" Properties=species:S:1:pos:R:3 comment="CuMo2, optimized geometry, DFT PBE-GGA" e_above_lowest_polymorph_ev_per_atom=0.077 crystal_system=orthorhombic pbc="T T T"
Cu 0.000 3.345 1.160
Cu 0.000 11.825 3.479
Cu 1.278 4.240 3.479
Cu 1.278 10.931 1.160
Mo 0.000 1.846 3.479
Mo 0.000 6.792 3.479
Mo 0.000 8.378 1.160
Mo 0.000 13.325 1.160
Mo 1.278 0.793 1.160
Mo 1.278 5.739 1.160
Mo 1.278 9.431 3.479
Mo 1.278 14.377 3.479

=====

8.
12
Lattice="2.530 0.000 0.000 0.000 12.877 0.000 0.000 0.000 5.333" Properties=species:S:1:pos:R:3 comment="CuMo, optimized geometry, DFT PBE-GGA" crystal_system=orthorhombic dft_energy_ev_per_cell=-84.796 pbc="T T T"
Cu 0.633 0.993 0.647
Cu 0.633 3.219 1.856
Cu 0.633 5.445 0.647
Cu 1.898 7.432 4.686
Cu 1.898 9.658 3.476
Cu 1.898 11.884 4.686
Mo 0.633 1.033 3.347
Mo 0.633 5.405 3.347
Mo 0.633 9.658 0.697
Mo 1.898 3.219 4.636
Mo 1.898 7.472 1.986
Mo 1.898 11.844 1.986

=====

9.
9
Lattice="-4.059 4.059 2.140 4.059 -4.059 2.140 4.059 4.059 -2.140" Properties=species:S:1:pos:R:3 comment="CuMo8, optimized geometry, DFT PBE-GGA" crystal_system=tetragonal dft_energy_ev_per_cell=-88.059 pbc="T T T"
Cu 0.000 0.000 0.000
Mo 2.645 0.000 0.000
Mo 5.473 0.000 0.000
Mo 0.000 2.645 0.000
Mo 2.761 2.761 0.000
Mo 1.298 -1.298 2.140
Mo -1.298 1.298 2.140
Mo 1.298 1.298 2.140
Mo 0.000 5.473 0.000

=====

10.
8
Lattice="2.601 0.000 0.000 0.000 9.223 0.000 0.000 0.000 5.060" Properties=species:S:1:pos:R:3 comment="CuMo3, optimized geometry, DFT PBE-GGA" crystal_system=orthorhombic dft_energy_ev_per_cell=-70.817 pbc="T T T"
Cu 0.000 0.000 0.000
Cu 1.301 4.612 2.530
Mo 0.000 2.339 3.509
Mo 0.000 4.612 5.028
Mo 0.000 6.884 3.509
Mo 1.301 0.000 2.498
Mo 1.301 2.273 0.979
Mo 1.301 6.950 0.979

=====

11.
5
Lattice="4.197 0.000 0.000 -2.098 3.635 0.000 0.000 0.000 5.227" Properties=species:S:1:pos:R:3 comment="Cu3Mo2, optimized geometry, DFT PBE-GGA" e_above_lowest_polymorph_ev_per_atom=0.386 crystal_system=trigonal pbc="T T T"
Cu 0.000 0.000 0.000
Cu 0.000 2.423 2.008
Cu 2.098 1.212 3.218
Mo 0.000 2.423 4.570
Mo 2.098 1.212 0.657

=====

12.
12
Lattice="6.683 0.000 0.000 0.000 6.683 0.000 0.000 0.000 6.683" Properties=species:S:1:pos:R:3 comment="CuMo, optimized geometry, DFT PBE-GGA" crystal_system=cubic dft_energy_ev_per_cell=-63.211 pbc="T T T"
Cu 0.000 1.671 3.342
Cu 0.000 5.013 3.342
Cu 1.671 3.342 0.000
Cu 3.342 0.000 1.671
Cu 3.342 0.000 5.013
Cu 5.013 3.342 0.000
Mo 0.000 3.342 1.671
Mo 0.000 3.342 5.013
Mo 1.671 0.000 3.342
Mo 3.342 1.671 0.000
Mo 3.342 5.013 0.000
Mo 5.013 0.000 3.342